CaAl2P4 GGA-PBE optimized geometry; space-group type = P2_1/m (11); E_tot = -67.528 eV/cell; magnetic moment = 0.00 μB per formula unit; E_form = -0.377 eV/atom
1.0
5.053 0.000 0.000
0.000 5.577 0.011
0.000 1.674 9.855
P Ca Al
8 2 4
direct
0.250 0.907 0.664
0.750 0.093 0.336
0.250 0.498 0.664
0.750 0.502 0.336
0.250 0.308 0.088
0.750 0.692 0.912
0.250 0.900 0.093
0.750 0.100 0.907
0.250 0.277 0.415
0.750 0.723 0.585
0.250 0.156 0.857
0.750 0.844 0.143
0.250 0.651 0.892
0.750 0.349 0.108